#a
Computed, not measured: Y2Cr2W after structural relaxation at the PBE level of DFT.

Output
Its space group is P4/mbm (127).

abc: 8.121 8.121 3.150
angles: 90.00 90.00 90.00
Each line ends with the local moment (μB).
Fractional positions:
Y  0.148  0.352  0.000  0.07
Y  0.852  0.648  0.000  0.07
Y  0.648  0.148  0.000  0.06
Y  0.352  0.852  0.000  0.06
W  0.500  0.500  0.000  0.15
W  0.000  0.000  0.000  0.15
Cr  0.157  0.657  0.500  3.21
Cr  0.343  0.157  0.500  3.22
Cr  0.843  0.343  0.500  3.21
Cr  0.657  0.843  0.500  3.22

---

#b
Computed, not measured: Y2Cr2W after structural relaxation at the PBE level of DFT.

Output
Its space group is I4/mmm (139).

abc: 3.167 3.167 10.257
angles: 81.12 81.12 90.00
Fractional positions:
Cr  0.750  0.250  0.500
Cr  0.250  0.750  0.500
Y  0.391  0.391  0.219
Y  0.609  0.609  0.781
W  0.000  0.000  0.000

---

Stability, descending: #b, #a

---

#a
Computed, not measured: Y2CrW after structural relaxation at the PBE level of DFT.

Output
Its space group is Imm2 (44).

abc: 5.934 5.934 5.007
angles: 65.06 65.06 33.54
Fractional positions:
Cr  0.541  0.541  0.459
Y  0.988  0.988  0.012
Y  0.768  0.768  0.732
W  0.202  0.202  0.297

---

#b
Computed, not measured: Y2CrW after structural relaxation at the PBE level of DFT.

Output
Its space group is I-42d (122).

abc: 7.857 7.857 6.304
angles: 51.45 51.45 90.00
Each line ends with the local moment (μB).
Fractional positions:
W  0.000  0.000  0.000  -0.56
W  0.750  0.250  0.500  -0.57
Y  0.875  0.864  0.750  0.07
Y  0.614  0.125  0.250  0.06
Y  0.375  0.386  0.750  0.07
Y  0.136  0.625  0.250  0.06
Cr  0.500  0.500  0.000  3.38
Cr  0.250  0.750  0.500  3.39

---

#c
Computed, not measured: Y2CrW after structural relaxation at the PBE level of DFT.

Output
Its space group is R3m (160).

abc: 9.785 9.785 9.785
angles: 19.27 19.27 19.27
Each line ends with the local moment (μB).
Fractional positions:
Cr  0.487  0.487  0.487  0.10
W  0.766  0.766  0.766  -0.01
Y  0.014  0.014  0.014  0.00
Y  0.233  0.233  0.233  -0.01

---

#d
Computed, not measured: Y2CrW after structural relaxation at the PBE level of DFT.

Output
Its space group is Fm-3m (225).

abc: 5.025 5.025 5.025
angles: 60.00 60.00 60.00
Each line ends with the local moment (μB).
Fractional positions:
Y  0.750  0.750  0.750  0.00
Y  0.250  0.250  0.250  0.00
Cr  0.000  0.000  0.000  3.48
W  0.500  0.500  0.500  -0.81

---

Stability, descending: #a, #c, #d, #b

---

#a
Computed, not measured: YCrW3 after structural relaxation at the PBE level of DFT.

Output
Its space group is Pm-3m (221).

abc: 4.733 4.733 4.733
angles: 90.00 90.00 90.00
Each line ends with the local moment (μB).
Fractional positions:
Cr  0.500  0.500  0.500  -0.06
W  0.000  0.500  0.000  0.01
W  0.500  0.000  0.000  0.01
W  0.000  0.000  0.500  0.01
Y  0.000  0.000  0.000  0.00

---

#b
Computed, not measured: YCrW3 after structural relaxation at the PBE level of DFT.

Output
Its space group is Pm-3m (221).

abc: 4.617 4.617 4.617
angles: 90.00 90.00 90.00
Fractional positions:
W  0.000  0.500  0.000
W  0.500  0.000  0.000
W  0.000  0.000  0.500
Y  0.500  0.500  0.500
Cr  0.000  0.000  0.000

---

Stability, descending: #b, #a

---

#a
Computed, not measured: ZnCrW3 after structural relaxation at the PBE level of DFT.

Output
Its space group is Pm-3m (221).

abc: 4.503 4.503 4.503
angles: 90.00 90.00 90.00
Fractional positions:
W  0.000  0.000  0.500
W  0.500  0.000  0.000
W  0.000  0.500  0.000
Cr  0.000  0.000  0.000
Zn  0.500  0.500  0.500

---

#b
Computed, not measured: ZnCrW3 after structural relaxation at the PBE level of DFT.

Output
Its space group is Pm-3m (221).

abc: 4.498 4.498 4.498
angles: 90.00 90.00 90.00
Fractional positions:
W  0.000  0.500  0.000
W  0.000  0.000  0.500
W  0.500  0.000  0.000
Zn  0.000  0.000  0.000
Cr  0.500  0.500  0.500

---

Stability, descending: #a, #b

---

#a
Computed, not measured: ZnCr3W after structural relaxation at the PBE level of DFT.

Output
Its space group is Pm-3m (221).

abc: 4.686 4.686 4.686
angles: 90.00 90.00 90.00
Each line ends with the local moment (μB).
Fractional positions:
Cr  0.000  0.500  0.000  2.76
Cr  0.500  0.000  0.000  3.20
Cr  0.000  0.000  0.500  2.52
W  0.000  0.000  0.000  -0.97
Zn  0.500  0.500  0.500  -0.07

---

#b
Computed, not measured: ZnCr3W after structural relaxation at the PBE level of DFT.

Output
Its space group is Pm-3m (221).

abc: 4.444 4.444 4.444
angles: 90.00 90.00 90.00
Each line ends with the local moment (μB).
Fractional positions:
Cr  0.000  0.000  0.500  3.15
Cr  0.000  0.500  0.000  3.10
Cr  0.500  0.000  0.000  2.65
W  0.500  0.500  0.500  -1.78
Zn  0.000  0.000  0.000  0.13

---

Stability, descending: #a, #b

---

#a
Computed, not measured: ZrCr2W after structural relaxation at the PBE level of DFT.

Output
Its space group is Imm2 (44).

abc: 5.211 5.211 5.211
angles: 145.47 129.77 62.39
Fractional positions:
Cr  0.756  0.256  0.500
Cr  0.985  0.985  0.000
Zr  0.245  0.745  0.500
W  0.514  0.514  0.000

---

#b
Computed, not measured: ZrCr2W after structural relaxation at the PBE level of DFT.

Output
Its space group is C2/m (12).

abc: 5.074 5.074 2.741
angles: 78.76 78.76 112.51
Fractional positions:
W  0.500  0.000  0.500
Cr  0.000  0.000  0.000
Cr  0.500  0.500  0.000
Zr  0.000  0.500  0.500

---

Stability, descending: #a, #b